one:
First-principles (GGA-PBE) data for a geometry-optimized Ce3CdOs structure, as listed in the Alexandria database.

The calculation puts the density of states at the Fermi level at 17.86 states/eV/f.u.

It has space group Pm-3m (No. 221), with a = 5.416 Å, b = 5.416 Å, c = 5.416 Å, α = 90.00°, β = 90.00° and γ = 90.00°. Symmetry generates all atoms from Ce at (0.000, 0.000, 0.500), Cd at (0.500, 0.500, 0.500) and Os at (0.000, 0.000, 0.000).



two:
First-principles (GGA-PBE) data for a geometry-optimized Ce3CdOs structure, as listed in the Alexandria database.

The calculation puts the density of states at the Fermi level at 11.48 states/eV/f.u.

It has space group P2_1/m (No. 11), with a = 8.053 Å, b = 3.760 Å, c = 8.496 Å, α = 90.00°, β = 101.70° and γ = 90.00°. Symmetry generates all atoms from Ce at (0.052, 0.250, 0.178), Ce at (0.334, 0.250, 0.859), Ce at (0.434, 0.250, 0.353), Cd at (0.155, 0.750, 0.519) and Os at (0.273, 0.750, 0.079).



The structure with the least stability is one.